No. 1
Compound: TiNb3S6
Source: Alexandria
Functional: meta-GGA SCAN
Structure: PBEsol geometry

a b c (Å): 5.726 5.726 12.334
angles (deg): 90.00 90.00 120.00
Fractional coordinates of all 20 atoms:
Ti  0.333  0.667  0.250
Ti  0.667  0.333  0.750
Nb  0.000  0.000  0.000
Nb  0.000  0.000  0.500
Nb  0.333  0.667  0.502
Nb  0.333  0.667  0.998
Nb  0.667  0.333  0.002
Nb  0.667  0.333  0.498
S  0.000  0.332  0.128
S  0.000  0.332  0.872
S  0.000  0.668  0.372
S  0.000  0.668  0.628
S  0.332  0.000  0.128
S  0.332  0.000  0.872
S  0.332  0.332  0.372
S  0.332  0.332  0.628
S  0.668  0.000  0.372
S  0.668  0.000  0.628
S  0.668  0.668  0.128
S  0.668  0.668  0.872

## Properties
Energy = -374.28 eV per cell

***

No. 2
Compound: SrMg2Cd
Source: Alexandria
Functional: meta-GGA SCAN
Structure: PBEsol geometry

a b c (Å): 10.340 10.340 10.340
angles (deg): 20.28 20.28 20.28
Fractional coordinates of all 4 atoms:
Sr  0.000  0.000  0.000
Mg  0.509  0.509  0.509
Mg  0.764  0.764  0.764
Cd  0.247  0.247  0.247

## Properties
Formation energy from the elements = 0.0881 eV/atom

***

No. 3
Compound: Zr2TlNi
Source: Alexandria
Functional: meta-GGA SCAN
Structure: PBEsol geometry

a b c (Å): 8.249 8.249 8.249
angles (deg): 24.22 24.22 24.22
Fractional coordinates of all 4 atoms:
Zr  0.231  0.231  0.231
Zr  0.769  0.769  0.769
Tl  0.000  0.000  0.000
Ni  0.500  0.500  0.500

## Properties
Formation energy from the elements = -0.1773 eV/atom
Relative energy among the computed polymorphs = 88 meV per atom

***

No. 4
Compound: La2AlRu
Source: Alexandria
Functional: meta-GGA SCAN
Structure: PBEsol geometry

a b c (Å): 6.290 6.290 6.290
angles (deg): 148.47 133.91 56.91
Fractional coordinates of all 4 atoms:
La  0.000  0.000  0.000
La  0.698  0.198  0.500
Al  0.299  0.799  0.500
Ru  0.465  0.465  0.000

## Properties
Formation energy from the elements = -0.3279 eV/atom

***

No. 5
Compound: NaTl3F6
Source: Alexandria
Functional: meta-GGA SCAN
Structure: PBEsol geometry

a b c (Å): 6.195 6.195 6.195
angles (deg): 60.00 60.00 60.00
Fractional coordinates of all 10 atoms:
Na  0.000  0.000  0.000
Tl  0.250  0.250  0.250
Tl  0.500  0.500  0.500
Tl  0.750  0.750  0.750
F  0.253  0.253  0.747
F  0.253  0.747  0.253
F  0.253  0.747  0.747
F  0.747  0.253  0.253
F  0.747  0.253  0.747
F  0.747  0.747  0.253

## Properties
Energy = -263.76 eV per cell

***

No. 6
Compound: MnCr2Rh
Source: Alexandria
Functional: meta-GGA SCAN
Structure: PBEsol geometry

a b c (Å): 4.118 4.118 4.118
angles (deg): 60.00 60.00 60.00
Fractional coordinates of all 4 atoms:
Mn  0.000  0.000  0.000
Cr  0.500  0.500  0.500
Cr  0.750  0.750  0.750
Rh  0.250  0.250  0.250

## Properties
Formation energy from the elements = -0.2531 eV/atom
Relative energy among the computed polymorphs = 0 meV per atom

***

Values of DOS(E_F), in order: 9.12; 2.27; 2.72; 3.19; 0.00; 2.74, all in states/eV per cell.
Values of M_tot, in order: 2.0; 0.0; 0.0; 0.0; 0.0; 4.1, all in μB/cell.
Values of V, in order: 350; 116; 83; 93; 168; 49, all in Å³ per cell.